A relaxed structure of LiCu5Pd3, computed with GGA-PBE.

## Properties
final energy = -4.042 eV/atom
M_tot = 0.0 μB per formula unit
space-group type = I4/mcm (140)

The structure in POSCAR format:
```
LiCu5Pd3
1.0
-3.388 3.388 5.606
3.388 -3.388 5.606
3.388 3.388 -5.606
Li Cu Pd
2 10 6
Direct
0.250 0.750 0.500
0.750 0.250 0.500
0.000 0.000 0.000
0.049 0.549 0.894
0.155 0.049 0.500
0.345 0.845 0.894
0.451 0.345 0.500
0.500 0.500 0.000
0.549 0.655 0.500
0.655 0.155 0.106
0.845 0.951 0.500
0.951 0.451 0.106
0.128 0.372 0.500
0.250 0.250 0.000
0.372 0.872 0.245
0.628 0.128 0.755
0.750 0.750 0.000
0.872 0.628 0.500
```